First-principles (GGA-PBE) data for a relaxed structure of Cu2TeW, as listed in Alexandria via LeMat-Bulk.

a b c (Å): 4.726 4.726 2.914
angles (deg): 90.00 90.00 90.00
Fractional coordinates of all 4 atoms:
1 Cu 0.000 0.000 0.000
2 Cu 0.500 0.500 0.000
3 Te 0.500 0.000 0.500
4 W 0.000 0.500 0.500

Calculated values
uncorrected formation energy = 0.771 eV per atom
space group = P4/mmm (123)
energy = -21.20 eV per cell



First-principles (GGA-PBE) data for a relaxed structure of Dy4Mg5Zn2, as listed in Alexandria via LeMat-Bulk.

a b c (Å): 3.470 7.949 10.075
angles (deg): 93.52 90.00 90.00
Fractional coordinates of all 11 atoms:
1 Dy 0.500 0.749 0.553
2 Dy 0.500 0.158 0.868
3 Dy 0.500 0.251 0.447
4 Dy 0.500 0.842 0.132
5 Mg 0.000 0.563 0.303
6 Mg 0.000 0.193 0.162
7 Mg 0.000 0.500 0.000
8 Mg 0.000 0.807 0.838
9 Mg 0.000 0.437 0.697
10 Zn 0.000 0.055 0.631
11 Zn 0.000 0.945 0.369

Calculated values
formation energy = -1.213 eV/f.u.
space group = P2/m (10)
energy = -30.14 eV per cell



First-principles (GGA-PBE) data for a relaxed structure of CrMo2Os, as listed in Alexandria via LeMat-Bulk.

a b c (Å): 4.289 2.705 5.121
angles (deg): 79.20 90.00 90.00
Fractional coordinates of all 4 atoms:
1 Cr 0.500 0.792 0.754
2 Mo 0.000 0.986 0.987
3 Mo 0.500 0.215 0.257
4 Os 0.000 0.506 0.503

Calculated values
formation energy = 0.612 eV/f.u.
space group = Pm (6)
energy = -41.90 eV per cell



First-principles (GGA-PBE) data for a relaxed structure of ScCoHg2, as listed in Alexandria via LeMat-Bulk.

a b c (Å): 3.449 3.411 7.197
angles (deg): 61.67 90.00 90.00
Last column: magnetic moment on the atom in μB.
Fractional coordinates of all 4 atoms:
1 Co 0.500 0.750 0.750  1.40
2 Hg 0.000 0.022 0.978  -0.02
3 Hg 0.000 0.478 0.522  -0.02
4 Sc 0.500 0.250 0.250  0.04

Calculated values
formation energy = 0.101 eV/f.u.
space group = Pmmm (47)
energy = -13.94 eV per cell



First-principles (GGA-PBE) data for a relaxed structure of Cs2ZnCd, as listed in Alexandria via LeMat-Bulk.

a b c (Å): 5.005 5.007 10.447
angles (deg): 76.08 76.14 60.01
Fractional coordinates of all 4 atoms:
1 Cs 0.891 0.653 0.565
2 Cs 0.714 0.478 0.094
3 Zn 0.136 0.899 0.830
4 Cd 0.469 0.232 0.829

Calculated values
formation energy = 0.074 eV/f.u.
space group = Cm (8)
energy = -3.82 eV per cell



First-principles (GGA-PBE) data for a relaxed structure of Al5Se3, as listed in Alexandria via LeMat-Bulk.

a b c (Å): 5.560 5.560 5.254
angles (deg): 90.00 90.00 104.97
Fractional coordinates of all 8 atoms:
1 Al 0.000 0.000 0.000
2 Al 0.000 0.500 0.000
3 Al 0.500 0.000 0.000
4 Al 0.296 0.296 0.500
5 Al 0.704 0.704 0.500
6 Se 0.500 0.500 0.000
7 Se 0.799 0.201 0.500
8 Se 0.201 0.799 0.500

Calculated values
uncorrected formation energy = 0.016 eV per atom
space group = Cmmm (65)
energy = -29.04 eV per cell



First-principles (GGA-PBE) data for a relaxed structure of Er5TePb2, as listed in Alexandria via LeMat-Bulk.

a b c (Å): 6.033 5.793 16.265
angles (deg): 90.00 90.00 121.38
Last column: magnetic moment on the atom in μB.
Fractional coordinates of all 16 atoms:
1 Er 0.928 0.855 0.899  0.12
2 Er 0.928 0.855 0.601  0.12
3 Er 0.428 0.856 0.399  0.12
4 Er 0.428 0.856 0.101  0.12
5 Er 0.750 0.500 0.250  0.03
6 Er 0.250 0.500 0.750  0.03
7 Er 0.572 0.144 0.601  0.12
8 Er 0.572 0.144 0.899  0.12
9 Er 0.072 0.145 0.101  0.12
10 Er 0.072 0.145 0.399  0.12
11 Te 0.750 0.499 0.750  0.00
12 Te 0.250 0.501 0.250  0.00
13 Pb 0.750 0.500 0.437  0.00
14 Pb 0.750 0.500 0.063  0.00
15 Pb 0.250 0.500 0.563  0.00
16 Pb 0.250 0.500 0.937  0.00

Calculated values
uncorrected formation energy = -0.343 eV per atom
space group = Cmcm (63)
energy = -72.23 eV per cell



First-principles (GGA-PBE) data for a relaxed structure of RePdRh, as listed in Alexandria via LeMat-Bulk.

a b c (Å): 2.746 4.396 7.438
angles (deg): 90.00 90.00 90.00
Fractional coordinates of all 6 atoms:
1 Rh 0.500 0.500 0.251
2 Rh 0.000 0.000 0.749
3 Pd 0.500 0.500 0.610
4 Pd 0.000 0.000 0.390
5 Re 0.000 0.500 0.939
6 Re 0.500 0.000 0.061

Calculated values
formation energy = 0.042 eV/f.u.
space group = Pmmn (59)
energy = -49.90 eV per cell



First-principles (GGA-PBE) data for a relaxed structure of Ce2Sb3Pd4Au, as listed in Alexandria via LeMat-Bulk.

a b c (Å): 4.420 4.420 11.278
angles (deg): 90.00 90.00 90.00
Last column: magnetic moment on the atom in μB.
Fractional coordinates of all 10 atoms:
1 Ce 0.500 0.000 0.251  0.78
2 Ce 0.000 0.500 0.749  0.78
3 Sb 0.000 0.000 0.500  -0.01
4 Sb 0.500 0.000 0.868  0.00
5 Sb 0.000 0.500 0.132  0.00
6 Pd 0.500 0.500 0.000  0.01
7 Pd 0.000 0.000 0.000  0.00
8 Pd 0.500 0.000 0.642  -0.01
9 Pd 0.000 0.500 0.358  -0.01
10 Au 0.500 0.500 0.500  0.00

Calculated values
uncorrected formation energy = -0.730 eV per atom
space group = P-4m2 (115)
energy = -55.59 eV per cell



First-principles (GGA-PBE) data for a relaxed structure of NaTlPb2, as listed in Alexandria via LeMat-Bulk.

a b c (Å): 4.086 4.086 7.153
angles (deg): 90.00 90.00 90.00
Fractional coordinates of all 4 atoms:
1 Pb 0.000 0.000 0.744
2 Pb 0.000 0.000 0.256
3 Na 0.500 0.500 0.000
4 Tl 0.500 0.500 0.500

Calculated values
formation energy = -0.161 eV/f.u.
space group = P4/mmm (123)
energy = -11.26 eV per cell



First-principles (GGA-PBE) data for a relaxed structure of TiCrAu3, as listed in Alexandria via LeMat-Bulk.

a b c (Å): 4.756 4.756 4.756
angles (deg): 90.00 90.00 90.00
Fractional coordinates of all 5 atoms:
1 Cr 0.000 0.000 0.000
2 Au 0.000 0.500 0.000
3 Au 0.000 0.000 0.500
4 Au 0.500 0.000 0.000
5 Ti 0.500 0.500 0.500

Calculated values
formation energy = 5.193 eV/f.u.
space group = Pm-3m (221)
energy = -22.16 eV per cell



First-principles (GGA-PBE) data for a relaxed structure of V2Cr3W, as listed in Alexandria via LeMat-Bulk.

a b c (Å): 2.962 4.193 6.593
angles (deg): 108.54 90.00 90.00
Fractional coordinates of all 6 atoms:
1 V 0.000 0.332 0.664
2 V 0.000 0.668 0.336
3 Cr 0.500 0.500 0.000
4 Cr 0.500 0.830 0.661
5 Cr 0.500 0.170 0.339
6 W 0.000 0.000 0.000

Calculated values
formation energy = -0.421 eV/f.u.
space group = Cmmm (65)
energy = -60.48 eV per cell



First-principles (GGA-PBE) data for a relaxed structure of Ca2Al3Pd, as listed in Alexandria via LeMat-Bulk.

a b c (Å): 5.569 5.569 5.570
angles (deg): 90.17 120.24 119.57
Fractional coordinates of all 6 atoms:
1 Ca 0.749 0.374 0.123
2 Ca 0.251 0.626 0.877
3 Al 0.500 0.500 0.500
4 Al 0.000 0.000 0.500
5 Al 0.500 0.000 0.500
6 Pd 0.000 0.000 0.000

Calculated values
formation energy = -3.219 eV/f.u.
space group = C2/m (12)
energy = -23.64 eV per cell



First-principles (GGA-PBE) data for a relaxed structure of CePr2Pd9, as listed in Alexandria via LeMat-Bulk.

a b c (Å): 4.192 4.192 12.589
angles (deg): 90.00 90.00 90.00
Fractional coordinates of all 12 atoms:
1 Ce 0.000 0.000 0.000
2 Pr 0.000 0.000 0.333
3 Pr 0.000 0.000 0.667
4 Pd 0.500 0.500 0.000
5 Pd 0.500 0.500 0.330
6 Pd 0.500 0.500 0.670
7 Pd 0.500 0.000 0.159
8 Pd 0.500 0.000 0.500
9 Pd 0.500 0.000 0.841
10 Pd 0.000 0.500 0.159
11 Pd 0.000 0.500 0.500
12 Pd 0.000 0.500 0.841

Calculated values
formation energy = -9.439 eV/f.u.
space group = P4/mmm (123)
energy = -71.67 eV per cell



First-principles (GGA-PBE) data for a relaxed structure of ZnGe3Au, as listed in Alexandria via LeMat-Bulk.

a b c (Å): 4.806 4.806 4.806
angles (deg): 90.00 90.00 90.00
Fractional coordinates of all 5 atoms:
1 Ge 0.000 0.500 0.000
2 Ge 0.000 0.000 0.500
3 Ge 0.500 0.000 0.000
4 Au 0.500 0.500 0.500
5 Zn 0.000 0.000 0.000

Calculated values
formation energy = 3.136 eV/f.u.
space group = Pm-3m (221)
energy = -15.27 eV per cell



First-principles (GGA-PBE) data for a relaxed structure of AlTlHg, as listed in Alexandria via LeMat-Bulk.

a b c (Å): 8.207 4.599 7.925
angles (deg): 90.00 90.00 90.00
Fractional coordinates of all 12 atoms:
1 Tl 0.499 0.250 0.344
2 Tl 0.001 0.750 0.844
3 Tl 0.501 0.750 0.656
4 Tl 0.999 0.250 0.156
5 Hg 0.782 0.250 0.652
6 Hg 0.718 0.750 0.152
7 Hg 0.218 0.750 0.348
8 Hg 0.282 0.250 0.848
9 Al 0.111 0.250 0.544
10 Al 0.389 0.750 0.044
11 Al 0.889 0.750 0.456
12 Al 0.611 0.250 0.956

Calculated values
formation energy = 0.333 eV/f.u.
space group = Pnma (62)
energy = -24.31 eV per cell



First-principles (GGA-PBE) data for a relaxed structure of Cu2AgPd5, as listed in Alexandria via LeMat-Bulk.

a b c (Å): 6.701 6.701 7.230
angles (deg): 117.61 117.61 90.00
Fractional coordinates of all 16 atoms:
1 Cu 0.143 0.357 0.000
2 Cu 0.643 0.143 0.000
3 Cu 0.357 0.857 0.000
4 Cu 0.857 0.643 0.000
5 Ag 0.750 0.750 0.500
6 Ag 0.250 0.250 0.500
7 Pd 0.496 0.697 0.693
8 Pd 0.803 0.004 0.307
9 Pd 0.000 0.000 0.000
10 Pd 0.500 0.500 0.000
11 Pd 0.197 0.996 0.693
12 Pd 0.697 0.197 0.693
13 Pd 0.996 0.496 0.693
14 Pd 0.303 0.803 0.307
15 Pd 0.004 0.504 0.307
16 Pd 0.504 0.303 0.307

Calculated values
formation energy = 0.489 eV/f.u.
space group = I4/mcm (140)
energy = -73.04 eV per cell



First-principles (GGA-PBE) data for a relaxed structure of HfTa3Sn, as listed in Alexandria via LeMat-Bulk.

a b c (Å): 4.931 4.931 4.931
angles (deg): 90.00 90.00 90.00
Fractional coordinates of all 5 atoms:
1 Hf 0.000 0.000 0.000
2 Sn 0.500 0.500 0.500
3 Ta 0.000 0.500 0.000
4 Ta 0.000 0.000 0.500
5 Ta 0.500 0.000 0.000

Calculated values
formation energy = 8.614 eV/f.u.
space group = Pm-3m (221)
energy = -40.90 eV per cell



First-principles (GGA-PBE) data for a relaxed structure of LiBe2Au3, as listed in Alexandria via LeMat-Bulk.

a b c (Å): 2.967 2.967 9.498
angles (deg): 90.00 90.00 90.00
Fractional coordinates of all 6 atoms:
1 Li 0.500 0.500 0.500
2 Be 0.500 0.500 0.838
3 Be 0.500 0.500 0.162
4 Au 0.000 0.000 0.000
5 Au 0.000 0.000 0.694
6 Au 0.000 0.000 0.306

Calculated values
formation energy = -1.620 eV/f.u.
space group = P4/mmm (123)
energy = -20.82 eV per cell



First-principles (GGA-PBE) data for a relaxed structure of Mg3SnPt, as listed in Alexandria via LeMat-Bulk.

a b c (Å): 4.518 5.688 8.996
angles (deg): 88.97 90.00 113.40
Fractional coordinates of all 10 atoms:
1 Mg 0.105 0.210 0.864
2 Mg 0.895 0.790 0.136
3 Mg 0.393 0.787 0.865
4 Mg 0.607 0.213 0.135
5 Mg 0.114 0.229 0.387
6 Mg 0.886 0.771 0.613
7 Sn 0.604 0.207 0.628
8 Sn 0.396 0.793 0.372
9 Pt 0.759 0.517 0.880
10 Pt 0.241 0.483 0.120

Calculated values
formation energy = -2.246 eV/f.u.
space group = C2/m (12)
energy = -34.15 eV per cell